# PBE Ce3PuGe2, optimized geometry
# crystal system	monoclinic
# ΔE to the lowest computed polymorph	0.0000	eV per atom
# space group	C2/c, No. 15
# N(E_F)	21.1	states/eV per cell
# total DFT energy (no corrections)	-87.0	eV/cell
# calculated formation energy	-358	meV per atom
# total magnetic moment	14.44	μB per cell
data_Ce3PuGe2
_cell_length_a 6.378
_cell_length_b 6.378
_cell_length_c 7.410
_cell_angle_alpha 78.69
_cell_angle_beta 78.69
_cell_angle_gamma 86.37
_space_group_name_H-M_alt 'P 1'
_space_group_IT_number 1
loop_
_space_group_symop_operation_xyz
'x,y,z'
loop_
_atom_site_label
_atom_site_type_symbol
_atom_site_fract_x
_atom_site_fract_y
_atom_site_fract_z
Ce1 Ce 0.469 0.531 0.250
Ce2 Ce 0.531 0.469 0.750
Ce3 Ce 0.924 0.771 0.967
Ce4 Ce 0.229 0.076 0.533
Ce5 Ce 0.771 0.924 0.467
Ce6 Ce 0.076 0.229 0.033
Pu1 Pu 0.858 0.142 0.750
Pu2 Pu 0.142 0.858 0.250
Ge1 Ge 0.103 0.556 0.624
Ge2 Ge 0.556 0.103 0.124
Ge3 Ge 0.444 0.897 0.876
Ge4 Ge 0.897 0.444 0.376

=====

# PBE Ce2PuGe4, optimized geometry
# crystal system	orthorhombic
# space group	Immm, No. 71
# N(E_F)	17.4	states/eV per cell
# total DFT energy (no corrections)	-48.5	eV/cell
# calculated formation energy	-546	meV per atom
# total magnetic moment	6.98	μB per cell
data_Ce2PuGe4
_cell_length_a 4.047
_cell_length_b 4.425
_cell_length_c 9.691
_cell_angle_alpha 103.20
_cell_angle_beta 102.05
_cell_angle_gamma 90.00
_space_group_name_H-M_alt 'P 1'
_space_group_IT_number 1
loop_
_space_group_symop_operation_xyz
'x,y,z'
loop_
_atom_site_label
_atom_site_type_symbol
_atom_site_fract_x
_atom_site_fract_y
_atom_site_fract_z
Ge1 Ge 0.656 0.656 0.311
Ge2 Ge 0.344 0.344 0.689
Ge3 Ge 0.067 0.567 0.134
Ge4 Ge 0.933 0.433 0.866
Ce1 Ce 0.819 0.819 0.639
Ce2 Ce 0.181 0.181 0.361
Pu1 Pu 0.500 0.000 0.000